Li2YZn | PBE-GGA | relaxed

Results
The crystal system is tetragonal. Its energy of formation is 2.0 kJ/mol of atoms. As for the total magnetic moment: 0.24 μB per atom. The calculation puts the density of states at the Fermi level at 4.167 states/eV/f.u.

CIF file:
```
data_Li2YZn
_space_group_name_H-M_alt 'P 4/m m m'
_space_group_IT_number 123
_space_group_name_Hall '-P 4 2'
_cell_length_a 4.2029
_cell_length_b 4.2029
_cell_length_c 5.0318
_cell_angle_alpha 90.00
_cell_angle_beta 90.00
_cell_angle_gamma 90.00
loop_
_atom_site_label
_atom_site_fract_x
_atom_site_fract_y
_atom_site_fract_z
Li1 0.0000 0.5000 0.0000
Y1 0.0000 0.0000 0.5000
Zn1 0.5000 0.5000 0.5000
```